A plane-wave DFT calculation with PBE was carried out for a relaxed Li2In3Pd4 crystal.

Cell: 4.0963 4.8313 8.6706 Å, 78.37 89.88 64.82°
Positions (direct):
Li1 0.3276 0.3445 0.7898
Li2 0.6724 0.6555 0.2102
In1 0.3381 0.3246 0.4227
In2 0.0000 0.0000 0.0000
In3 0.6619 0.6754 0.5773
Pd1 0.6675 0.6658 0.8936
Pd2 0.0168 0.9668 0.3274
Pd3 0.9832 0.0332 0.6726
Pd4 0.3325 0.3342 0.1064

## Properties
Electronic total energy = -0.30609 Ry per atom
Crystal system = triclinic
Total moment = 0.00 μB per formula unit
Energy above the most stable polymorph in this dataset = 0.00 eV/f.u.
Space-group type = No. 2
D(E_F) = 2.27 states/eV/cell
V = 16.8 Å³ per atom
Formation energy = -0.519 eV/atom